1.
# NdGePt6

Crystalline NdGePt6 at its relaxed geometry (PBE, Alexandria via LeMat-Bulk).

Geometry as extended XYZ:
```
8
Lattice="2.722 1.572 6.623 -2.722 1.572 6.623 0.000 -3.144 6.623" Properties=species:S:1:pos:R:3 pbc="T T T"
Nd 0.000 0.000 0.000
Ge 0.000 0.000 9.935
Pt -1.393 -0.804 8.066
Pt 0.000 -1.609 11.803
Pt -1.393 0.804 11.803
Pt 1.393 -0.804 8.066
Pt 0.000 1.609 8.066
Pt 1.393 0.804 11.803
```

Calculated values
The space-group type is No. 166. Its total energy is -6.1074 eV/atom.

***

2.
# KU2TiO8

Crystalline KU2TiO8 at its relaxed geometry (PBE, Alexandria via LeMat-Bulk).

Geometry as extended XYZ:
```
12
Lattice="3.610 -3.419 0.000 3.610 3.419 0.000 -0.222 0.000 7.031" Properties=species:S:1:pos:R:3 pbc="T T T"
K 0.000 0.000 0.000
U 3.383 0.000 5.233
U 3.615 0.000 1.798
Ti -0.111 0.000 3.515
O 3.521 2.032 2.130
O 3.477 2.032 4.901
O 2.040 0.000 3.564
O 2.420 0.000 0.139
O 4.578 0.000 6.892
O 4.958 0.000 3.466
O 3.521 -2.032 2.130
O 3.477 -2.032 4.901
```

Calculated values
The space-group type is No. 12. As for the uncorrected formation energy: -2.85 eV/atom. Its total energy is -8.7893 eV/atom.

***

3.
# CaPr4Dy15

Crystalline CaPr4Dy15 at its relaxed geometry (PBE, Alexandria via LeMat-Bulk).

Geometry as extended XYZ:
```
20
Lattice="5.085 0.000 0.000 0.000 5.085 0.000 0.000 0.000 25.345" Properties=species:S:1:pos:R:3 pbc="T T T"
Ca 0.000 0.000 0.000
Pr 0.000 0.000 5.085
Pr 0.000 0.000 10.146
Pr 0.000 0.000 15.199
Pr 0.000 0.000 20.260
Dy 0.000 2.542 2.611
Dy 0.000 2.542 7.626
Dy 0.000 2.542 12.672
Dy 0.000 2.542 17.719
Dy 0.000 2.542 22.734
Dy 2.542 0.000 2.611
Dy 2.542 0.000 7.626
Dy 2.542 0.000 12.672
Dy 2.542 0.000 17.719
Dy 2.542 0.000 22.734
Dy 2.542 2.542 0.000
Dy 2.542 2.542 5.071
Dy 2.542 2.542 10.139
Dy 2.542 2.542 15.206
Dy 2.542 2.542 20.274
```

Calculated values
The space-group type is No. 123. Its total energy is -4.4666 eV/atom.